# 1
The following is a DFT calculation (GGA-PBE) of crystalline ZrInCu2H at its relaxed geometry.

Cell lengths 4.264, 4.264, 3.958 Å; angles 90.00, 90.00, 90.00 degrees
Space group P4/mmm (No. 123)
Symmetry-distinct sites (fractional):
Zr (0.000, 0.000, 0.000)
In (0.500, 0.500, 0.000)
Cu (0.000, 0.500, 0.500)
H (0.000, 0.000, 0.500)

# 2
The following is a DFT calculation (GGA-PBE) of crystalline NdSmHoTm2 at its relaxed geometry.

* formation energy from the elements: 351 meV/atom

Cell lengths 6.384, 16.594, 6.377 Å; angles 90.00, 90.00, 90.00 degrees
Space group Cmcm (No. 63)
Symmetry-distinct sites (fractional):
Nd (0.000, 0.158, 0.250)
Sm (0.000, 0.344, 0.250)
Ho (0.000, 0.236, 0.750)
Tm (0.248, 0.000, 0.000)

# 3
The following is a DFT calculation (GGA-PBE) of crystalline ReNiRh2W at its relaxed geometry.

* formation energy from the elements: 1845 meV/atom

Cell lengths 4.673, 4.673, 4.724 Å; angles 90.00, 90.00, 90.00 degrees
Space group P4/mmm (No. 123)
Symmetry-distinct sites (fractional):
Re (0.000, 0.000, 0.000)
Ni (0.500, 0.500, 0.500)
Rh (0.000, 0.500, 0.000)
W (0.000, 0.000, 0.500)

no.,uncorrected energy (eV per atom)
1,-4.67
2,-4.25
3,-7.33